Entry 1:
Np4CuP5: optimized geometry, PBE-GGA.

POSCAR file:
```
Np4CuP5
1.0
2.0076 1.1591 14.4145
-2.0076 1.1591 14.4145
0.0000 -2.3182 14.4145
Np Cu P
4 1 5
Direct
0.1108 0.1108 0.1108
0.2964 0.2964 0.2964
0.7036 0.7036 0.7036
0.8892 0.8892 0.8892
0.5000 0.5000 0.5000
0.0000 0.0000 0.0000
0.1923 0.1923 0.1923
0.4068 0.4068 0.4068
0.5932 0.5932 0.5932
0.8077 0.8077 0.8077
```

Properties
- E_form (meV per atom) = -642
- space-group type = R-3m
- magnetization (μB/f.u.) = 13.71
- V (Å³/f.u.) = 201.3

---

Entry 2:
MoPb2Cl: optimized geometry, PBE-GGA.

POSCAR file:
```
MoPb2Cl
1.0
1.7621 1.0174 8.8902
-1.7621 1.0174 8.8902
0.0000 -2.0347 8.8902
Mo Pb Cl
1 2 1
Direct
0.0000 0.0000 0.0000
0.2562 0.2562 0.2562
0.7438 0.7438 0.7438
0.5000 0.5000 0.5000
```

Properties
- space-group type = R-3m
- offset from the most stable computed form (eV per atom) = 0.120
- magnetization (μB/f.u.) = 0.00
- V (Å³/f.u.) = 95.6